[1]
VASP calculation (PBE) on a geometry-optimized ZrI2NF structure.

Cell lengths 5.5198, 5.5198, 3.6079 Å; angles 90.00, 90.00, 90.00 degrees
Last column: nearest neighbours and their distance in Å.
Positions (direct):
F  0.0000  0.0000  0.0000  2 N 1.80
I  0.5000  0.0000  0.0000  2 F 2.76
I  0.0000  0.5000  0.0000  2 F 2.76
N  0.0000  0.0000  0.5000  2 F 1.80
Zr  0.5000  0.5000  0.5000  8 I 3.30, 2 Zr 3.61

Results
For the density of states at the Fermi level, the calculation gives 1.5 states/eV per cell. As for the total magnetization: 1.07 μB/f.u. The space group is No. 123.

***

[2]
VASP calculation (PBE) on a geometry-optimized ZrI2NF structure.

Cell lengths 5.7636, 5.7636, 4.1394 Å; angles 90.00, 90.00, 90.00 degrees
Last column: nearest neighbours and their distance in Å.
Positions (direct):
I  0.5000  0.0000  0.0000  2 Zr 2.88
I  0.0000  0.5000  0.0000  2 Zr 2.88
F  0.5000  0.5000  0.5000  8 I 3.55
Zr  0.0000  0.0000  0.0000  2 N 2.07
N  0.0000  0.0000  0.5000  2 Zr 2.07

Results
For the density of states at the Fermi level, the calculation gives 8.8 states/eV per cell. As for the total magnetization: 0.53 μB/f.u. The space group is No. 123.

***

[3]
VASP calculation (PBE) on a geometry-optimized ZrIN2F structure.

Cell lengths 4.2202, 4.2202, 4.3515 Å; angles 90.00, 90.00, 90.00 degrees
Last column: nearest neighbours and their distance in Å.
Positions (direct):
I  0.0000  0.0000  0.0000  4 N 2.11, 2 F 2.18
N  0.0000  0.5000  0.0000  2 I 2.11
N  0.5000  0.0000  0.0000  2 I 2.11
F  0.0000  0.0000  0.5000  2 I 2.18
Zr  0.5000  0.5000  0.5000  4 F 2.98, 8 N 3.03

Results
For the density of states at the Fermi level, the calculation gives 3.7 states/eV per cell. As for the total magnetization: 0.00 μB/f.u. The space group is No. 123.

***

[4]
VASP calculation (PBE) on a geometry-optimized ZrIN2F structure.

Cell lengths 4.2898, 4.2898, 4.0495 Å; angles 90.00, 90.00, 90.00 degrees
Last column: nearest neighbours and their distance in Å.
Positions (direct):
N  0.5000  0.0000  0.0000  2 F 2.14
N  0.0000  0.5000  0.0000  2 F 2.14
Zr  0.5000  0.5000  0.5000  8 N 2.95, 4 I 3.03
I  0.0000  0.0000  0.5000  2 F 2.02
F  0.0000  0.0000  0.0000  2 I 2.02, 4 N 2.14

Results
For the density of states at the Fermi level, the calculation gives 1.8 states/eV per cell. As for the total magnetization: 0.30 μB/f.u. The space group is No. 123.

***

Number 1: formation energy from raw total energies 0.797 eV/atom, volume 21.99 Å³/atom. Number 2: formation energy from raw total energies -0.226 eV/atom, volume 27.50 Å³/atom. Number 3: formation energy from raw total energies 1.071 eV/atom, volume 15.50 Å³/atom. Number 4: formation energy from raw total energies 1.432 eV/atom, volume 14.90 Å³/atom.